1.
# PBE-GGA Pm2PrTe, optimized geometry
data_Pm2PrTe
_cell_length_a 4.0840
_cell_length_b 12.3747
_cell_length_c 10.2232
_cell_angle_alpha 90.00
_cell_angle_beta 90.00
_cell_angle_gamma 90.00
_symmetry_space_group_name_H-M 'C m c m'
_symmetry_Int_Tables_number 63
_symmetry_space_group_name_Hall '-C 2c 2'
loop_
_atom_site_label
_atom_site_type_symbol
_atom_site_fract_x
_atom_site_fract_y
_atom_site_fract_z
_atom_site_occupancy
Pm1 Pm 0.0000 0.1363 0.0358 1
Pr1 Pr 0.0000 0.4421 0.2500 1
Te1 Te 0.0000 0.2692 0.7500 1
# DOS at the Fermi energy in states/eV/atom: 1.147
# Magnetization in μB per cell: 0.00
# Formation energy from raw total energies in eV per formula unit: -2.8
# Crystal system: orthorhombic
# E_tot in eV/cell: -80.8



2.
# PBE-GGA Pm2PrTe, optimized geometry
data_Pm2PrTe
_cell_length_a 3.9707
_cell_length_b 3.9707
_cell_length_c 8.0601
_cell_angle_alpha 90.00
_cell_angle_beta 90.00
_cell_angle_gamma 90.00
_symmetry_space_group_name_H-M 'P 4/m m m'
_symmetry_Int_Tables_number 123
_symmetry_space_group_name_Hall '-P 4 2'
loop_
_atom_site_label
_atom_site_type_symbol
_atom_site_fract_x
_atom_site_fract_y
_atom_site_fract_z
_atom_site_occupancy
Pm1 Pm 0.0000 0.0000 0.2175 1
Pr1 Pr 0.5000 0.5000 0.5000 1
Te1 Te 0.5000 0.5000 0.0000 1
# DOS at the Fermi energy in states/eV/atom: 1.144
# Magnetization in μB per cell: 0.00
# Formation energy from raw total energies in eV per formula unit: -2.4
# Crystal system: tetragonal
# E_tot in eV/cell: -19.8



3.
# PBE-GGA PmPr2Te, optimized geometry
data_PmPr2Te
_cell_length_a 4.0570
_cell_length_b 4.0570
_cell_length_c 30.0487
_cell_angle_alpha 90.00
_cell_angle_beta 90.00
_cell_angle_gamma 120.00
_symmetry_space_group_name_H-M 'R 3 m'
_symmetry_Int_Tables_number 160
_symmetry_space_group_name_Hall 'R 3 -2"'
loop_
_atom_site_label
_atom_site_type_symbol
_atom_site_fract_x
_atom_site_fract_y
_atom_site_fract_z
_atom_site_occupancy
Pm1 Pm 0.0000 0.0000 0.0000 1
Pr1 Pr 0.0000 0.0000 0.2376 1
Pr2 Pr 0.0000 0.0000 0.4281 1
Te1 Te 0.0000 0.0000 0.8328 1
# DOS at the Fermi energy in states/eV/atom: 1.117
# Magnetization in μB per cell: 1.09
# Formation energy from raw total energies in eV per formula unit: -2.3
# Crystal system: trigonal
# E_tot in eV/cell: -59.1



4.
# PBE-GGA Pm2PrTe, optimized geometry
data_Pm2PrTe
_cell_length_a 4.0186
_cell_length_b 4.0186
_cell_length_c 29.9585
_cell_angle_alpha 90.00
_cell_angle_beta 90.00
_cell_angle_gamma 120.00
_symmetry_space_group_name_H-M 'R 3 m'
_symmetry_Int_Tables_number 160
_symmetry_space_group_name_Hall 'R 3 -2"'
loop_
_atom_site_label
_atom_site_type_symbol
_atom_site_fract_x
_atom_site_fract_y
_atom_site_fract_z
_atom_site_occupancy
Pm1 Pm 0.0000 0.0000 0.0000 1
Pm2 Pm 0.0000 0.0000 0.1928 1
Pr1 Pr 0.0000 0.0000 0.7635 1
Te1 Te 0.0000 0.0000 0.5963 1
# DOS at the Fermi energy in states/eV/atom: 1.207
# Magnetization in μB per cell: 0.57
# Formation energy from raw total energies in eV per formula unit: -2.3
# Crystal system: trigonal
# E_tot in eV/cell: -59.1



5.
# PBE-GGA Pm4PrTe5, optimized geometry
data_Pm4PrTe5
_cell_length_a 4.4696
_cell_length_b 4.4696
_cell_length_c 31.8225
_cell_angle_alpha 90.00
_cell_angle_beta 90.00
_cell_angle_gamma 90.00
_symmetry_space_group_name_H-M 'I 4/m m m'
_symmetry_Int_Tables_number 139
_symmetry_space_group_name_Hall '-I 4 2'
loop_
_atom_site_label
_atom_site_type_symbol
_atom_site_fract_x
_atom_site_fract_y
_atom_site_fract_z
_atom_site_occupancy
Pm1 Pm 0.0000 0.0000 0.0974 1
Pm2 Pm 0.0000 0.0000 0.2957 1
Pr1 Pr 0.0000 0.0000 0.5000 1
Te1 Te 0.0000 0.0000 0.0000 1
Te2 Te 0.0000 0.0000 0.1972 1
Te3 Te 0.0000 0.0000 0.3976 1
# DOS at the Fermi energy in states/eV/atom: 0.532
# Magnetization in μB per cell: 0.00
# Formation energy from raw total energies in eV per formula unit: -14.1
# Crystal system: tetragonal
# E_tot in eV/cell: -107.2



6.
# PBE-GGA Pm3PrTe4, optimized geometry
data_Pm3PrTe4
_cell_length_a 4.4142
_cell_length_b 4.4142
_cell_length_c 30.2152
_cell_angle_alpha 90.00
_cell_angle_beta 90.00
_cell_angle_gamma 120.00
_symmetry_space_group_name_H-M 'P 63/m m c'
_symmetry_Int_Tables_number 194
_symmetry_space_group_name_Hall '-P 6c 2c'
loop_
_atom_site_label
_atom_site_type_symbol
_atom_site_fract_x
_atom_site_fract_y
_atom_site_fract_z
_atom_site_occupancy
Pm1 Pm 0.0000 0.0000 0.0000 1
Pm2 Pm 0.3333 0.6667 0.1229 1
Pr1 Pr 0.3333 0.6667 0.7500 1
Te1 Te 0.0000 0.0000 0.1847 1
Te2 Te 0.3333 0.6667 0.5617 1
# DOS at the Fermi energy in states/eV/atom: 0.660
# Magnetization in μB per cell: 0.00
# Formation energy from raw total energies in eV per formula unit: -11.3
# Crystal system: hexagonal
# E_tot in eV/cell: -85.7



7.
# PBE-GGA Pm3PrTe4, optimized geometry
data_Pm3PrTe4
_cell_length_a 9.0506
_cell_length_b 12.6807
_cell_length_c 4.4392
_cell_angle_alpha 90.00
_cell_angle_beta 90.00
_cell_angle_gamma 90.00
_symmetry_space_group_name_H-M 'C m m m'
_symmetry_Int_Tables_number 65
_symmetry_space_group_name_Hall '-C 2 2'
loop_
_atom_site_label
_atom_site_type_symbol
_atom_site_fract_x
_atom_site_fract_y
_atom_site_fract_z
_atom_site_occupancy
Pm1 Pm 0.0000 0.0000 0.0000 1
Pm2 Pm 0.2500 0.2500 0.5000 1
Pr1 Pr 0.0000 0.5000 0.0000 1
Te1 Te 0.0000 0.2483 0.0000 1
Te2 Te 0.2466 0.0000 0.5000 1
# DOS at the Fermi energy in states/eV/atom: 0.644
# Magnetization in μB per cell: 0.00
# Formation energy from raw total energies in eV per formula unit: -11.3
# Crystal system: orthorhombic
# E_tot in eV/cell: -85.8



8.
# PBE-GGA Pm4Pr3Te8, optimized geometry
data_Pm4Pr3Te8
_cell_length_a 12.6707
_cell_length_b 12.6737
_cell_length_c 8.9544
_cell_angle_alpha 90.00
_cell_angle_beta 134.95
_cell_angle_gamma 90.00
_symmetry_space_group_name_H-M 'C 1 2/m 1'
_symmetry_Int_Tables_number 12
loop_
_symmetry_equiv_pos_as_xyz
'x,y,z'
'-x,-y,-z'
'-x,y,-z'
'x,-y,z'
'x+1/2,y+1/2,z'
'-x+1/2,-y+1/2,-z'
'-x+1/2,y+1/2,-z'
'x+1/2,-y+1/2,z'
loop_
_atom_site_label
_atom_site_type_symbol
_atom_site_fract_x
_atom_site_fract_y
_atom_site_fract_z
_atom_site_occupancy
Pm1 Pm 0.0000 0.0000 0.0000 1
Pm2 Pm 0.0000 0.0000 0.5000 1
Pm3 Pm 0.2500 0.2500 0.0000 1
Pr1 Pr 0.0000 0.5000 0.5000 1
Pr2 Pr 0.2500 0.2500 0.5000 1
Te1 Te 0.0000 0.2484 0.5000 1
Te2 Te 0.0000 0.2544 0.0000 1
Te3 Te 0.2470 0.5000 0.0032 1
Te4 Te 0.2473 0.5000 0.4914 1
# DOS at the Fermi energy in states/eV/atom: 0.488
# Magnetization in μB per cell: 0.00
# Formation energy from raw total energies in eV per formula unit: -21.9
# Crystal system: monoclinic
# E_tot in eV/cell: -160.7



9.
# PBE-GGA PmPr2Te, optimized geometry
data_PmPr2Te
_cell_length_a 4.0044
_cell_length_b 4.0044
_cell_length_c 30.7012
_cell_angle_alpha 90.00
_cell_angle_beta 90.00
_cell_angle_gamma 120.00
_symmetry_space_group_name_H-M 'R -3 m'
_symmetry_Int_Tables_number 166
_symmetry_space_group_name_Hall '-R 3 2"'
loop_
_atom_site_label
_atom_site_type_symbol
_atom_site_fract_x
_atom_site_fract_y
_atom_site_fract_z
_atom_site_occupancy
Pm1 Pm 0.0000 0.0000 0.0000 1
Pr1 Pr 0.0000 0.0000 0.2382 1
Te1 Te 0.0000 0.0000 0.5000 1
# DOS at the Fermi energy in states/eV/atom: 1.169
# Magnetization in μB per cell: 0.00
# Formation energy from raw total energies in eV per formula unit: -2.2
# Crystal system: trigonal
# E_tot in eV/cell: -59.0



10.
# PBE-GGA PmPrTe, optimized geometry
data_PmPrTe
_cell_length_a 4.0130
_cell_length_b 4.0130
_cell_length_c 11.9124
_cell_angle_alpha 90.00
_cell_angle_beta 90.00
_cell_angle_gamma 90.00
_symmetry_space_group_name_H-M 'I 4 m m'
_symmetry_Int_Tables_number 107
_symmetry_space_group_name_Hall 'I 4 -2'
loop_
_atom_site_label
_atom_site_type_symbol
_atom_site_fract_x
_atom_site_fract_y
_atom_site_fract_z
_atom_site_occupancy
Pm1 Pm 0.0000 0.0000 0.0000 1
Pr1 Pr 0.0000 0.0000 0.6961 1
Te1 Te 0.0000 0.0000 0.3546 1
# DOS at the Fermi energy in states/eV/atom: 0.996
# Magnetization in μB per cell: 0.00
# Formation energy from raw total energies in eV per formula unit: -2.4
# Crystal system: tetragonal
# E_tot in eV/cell: -30.1



11.
# PBE-GGA PmPr2Te, optimized geometry
data_PmPr2Te
_cell_length_a 3.9990
_cell_length_b 3.9990
_cell_length_c 8.1865
_cell_angle_alpha 90.00
_cell_angle_beta 90.00
_cell_angle_gamma 90.00
_symmetry_space_group_name_H-M 'P 4/m m m'
_symmetry_Int_Tables_number 123
_symmetry_space_group_name_Hall '-P 4 2'
loop_
_atom_site_label
_atom_site_type_symbol
_atom_site_fract_x
_atom_site_fract_y
_atom_site_fract_z
_atom_site_occupancy
Pm1 Pm 0.0000 0.0000 0.0000 1
Pr1 Pr 0.5000 0.5000 0.2803 1
Te1 Te 0.0000 0.0000 0.5000 1
# DOS at the Fermi energy in states/eV/atom: 1.286
# Magnetization in μB per cell: 0.00
# Formation energy from raw total energies in eV per formula unit: -2.4
# Crystal system: tetragonal
# E_tot in eV/cell: -19.8



12.
# PBE-GGA Pm5PrTe6, optimized geometry
data_Pm5PrTe6
_cell_length_a 7.7476
_cell_length_b 13.4780
_cell_length_c 7.7389
_cell_angle_alpha 90.00
_cell_angle_beta 109.64
_cell_angle_gamma 90.00
_symmetry_space_group_name_H-M 'C 1 2/m 1'
_symmetry_Int_Tables_number 12
loop_
_symmetry_equiv_pos_as_xyz
'x,y,z'
'-x,-y,-z'
'-x,y,-z'
'x,-y,z'
'x+1/2,y+1/2,z'
'-x+1/2,-y+1/2,-z'
'-x+1/2,y+1/2,-z'
'x+1/2,-y+1/2,z'
loop_
_atom_site_label
_atom_site_type_symbol
_atom_site_fract_x
_atom_site_fract_y
_atom_site_fract_z
_atom_site_occupancy
Pm1 Pm 0.0000 0.0000 0.0000 1
Pm2 Pm 0.0000 0.1661 0.5000 1
Pm3 Pm 0.0000 0.3371 0.0000 1
Pr1 Pr 0.0000 0.5000 0.5000 1
Te1 Te 0.2461 0.0000 0.7496 1
Te2 Te 0.2472 0.1688 0.2472 1
# DOS at the Fermi energy in states/eV/atom: 0.480
# Magnetization in μB per cell: 0.00
# Formation energy from raw total energies in eV per formula unit: -17.0
# Crystal system: monoclinic
# E_tot in eV/cell: -128.7



Question: formation energy from raw total energies of number 5 (Pm4PrTe5)?
Answer: -14.1 eV per formula unit



What did the ninth record say?
# PBE-GGA PmPr2Te, optimized geometry
data_PmPr2Te
_cell_length_a 4.0044
_cell_length_b 4.0044
_cell_length_c 30.7012
_cell_angle_alpha 90.00
_cell_angle_beta 90.00
_cell_angle_gamma 120.00
_symmetry_space_group_name_H-M 'R -3 m'
_symmetry_Int_Tables_number 166
_symmetry_space_group_name_Hall '-R 3 2"'
loop_
_atom_site_label
_atom_site_type_symbol
_atom_site_fract_x
_atom_site_fract_y
_atom_site_fract_z
_atom_site_occupancy
Pm1 Pm 0.0000 0.0000 0.0000 1
Pr1 Pr 0.0000 0.0000 0.2382 1
Te1 Te 0.0000 0.0000 0.5000 1
# DOS at the Fermi energy in states/eV/atom: 1.169
# Magnetization in μB per cell: 0.00
# Formation energy from raw total energies in eV per formula unit: -2.2
# Crystal system: trigonal
# E_tot in eV/cell: -59.0



Question: Look up the DOS at the Fermi energy of the first one.
Answer: 1.147 states/eV/atom



Copy entry 6 word for word.
# PBE-GGA Pm3PrTe4, optimized geometry
data_Pm3PrTe4
_cell_length_a 4.4142
_cell_length_b 4.4142
_cell_length_c 30.2152
_cell_angle_alpha 90.00
_cell_angle_beta 90.00
_cell_angle_gamma 120.00
_symmetry_space_group_name_H-M 'P 63/m m c'
_symmetry_Int_Tables_number 194
_symmetry_space_group_name_Hall '-P 6c 2c'
loop_
_atom_site_label
_atom_site_type_symbol
_atom_site_fract_x
_atom_site_fract_y
_atom_site_fract_z
_atom_site_occupancy
Pm1 Pm 0.0000 0.0000 0.0000 1
Pm2 Pm 0.3333 0.6667 0.1229 1
Pr1 Pr 0.3333 0.6667 0.7500 1
Te1 Te 0.0000 0.0000 0.1847 1
Te2 Te 0.3333 0.6667 0.5617 1
# DOS at the Fermi energy in states/eV/atom: 0.660
# Magnetization in μB per cell: 0.00
# Formation energy from raw total energies in eV per formula unit: -11.3
# Crystal system: hexagonal
# E_tot in eV/cell: -85.7